Record 1
Compound: Sr2TbAu4
Source: Alexandria via LeMat-Bulk
Functional: PBE
Structure: relaxed

Output
**Energy relative to the elements**: -4.406 eV per formula unit
**SG**: I4/mmm, No. 139

Cell lengths 5.3551, 5.3551, 13.7247 Å; angles 90.00, 90.00, 90.00 degrees
Fractional coordinates of all 14 atoms:
Sr1 0.0000 0.0000 0.2233
Sr2 0.0000 0.0000 0.7767
Sr3 0.5000 0.5000 0.2767
Sr4 0.5000 0.5000 0.7233
Tb1 0.0000 0.0000 0.5000
Tb2 0.5000 0.5000 0.0000
Au1 0.0000 0.5000 0.1050
Au2 0.0000 0.5000 0.3950
Au3 0.0000 0.5000 0.6050
Au4 0.0000 0.5000 0.8950
Au5 0.5000 0.0000 0.1050
Au6 0.5000 0.0000 0.3950
Au7 0.5000 0.0000 0.6050
Au8 0.5000 0.0000 0.8950


Record 2
Compound: SrTbAu2
Source: Alexandria via LeMat-Bulk
Functional: PBE
Structure: relaxed

Output
**Energy relative to the elements**: -2.871 eV per formula unit
**SG**: Fm-3m, No. 225
**E above lowest polymorph**: 80 meV per atom

Cell lengths 7.4165, 7.4165, 7.4165 Å; angles 90.00, 90.00, 90.00 degrees
Fractional coordinates of all 16 atoms:
Sr1 0.0000 0.0000 0.0000
Sr2 0.0000 0.5000 0.5000
Sr3 0.5000 0.0000 0.5000
Sr4 0.5000 0.5000 0.0000
Tb1 0.0000 0.0000 0.5000
Tb2 0.0000 0.5000 0.0000
Tb3 0.5000 0.0000 0.0000
Tb4 0.5000 0.5000 0.5000
Au1 0.2500 0.2500 0.2500
Au2 0.2500 0.2500 0.7500
Au3 0.2500 0.7500 0.2500
Au4 0.2500 0.7500 0.7500
Au5 0.7500 0.2500 0.2500
Au6 0.7500 0.2500 0.7500
Au7 0.7500 0.7500 0.2500
Au8 0.7500 0.7500 0.7500


- What is the energy relative to the elements in the second record?
  -2.871 eV per formula unit


Copy entry 2 word for word.
Compound: SrTbAu2
Source: Alexandria via LeMat-Bulk
Functional: PBE
Structure: relaxed

Output
**Energy relative to the elements**: -2.871 eV per formula unit
**SG**: Fm-3m, No. 225
**E above lowest polymorph**: 80 meV per atom

Cell lengths 7.4165, 7.4165, 7.4165 Å; angles 90.00, 90.00, 90.00 degrees
Fractional coordinates of all 16 atoms:
Sr1 0.0000 0.0000 0.0000
Sr2 0.0000 0.5000 0.5000
Sr3 0.5000 0.0000 0.5000
Sr4 0.5000 0.5000 0.0000
Tb1 0.0000 0.0000 0.5000
Tb2 0.0000 0.5000 0.0000
Tb3 0.5000 0.0000 0.0000
Tb4 0.5000 0.5000 0.5000
Au1 0.2500 0.2500 0.2500
Au2 0.2500 0.2500 0.7500
Au3 0.2500 0.7500 0.2500
Au4 0.2500 0.7500 0.7500
Au5 0.7500 0.2500 0.2500
Au6 0.7500 0.2500 0.7500
Au7 0.7500 0.7500 0.2500
Au8 0.7500 0.7500 0.7500


- Look up the energy relative to the elements of the first one.
  -4.406 eV per formula unit


Copy entry 2 word for word.
Compound: SrTbAu2
Source: Alexandria via LeMat-Bulk
Functional: PBE
Structure: relaxed

Output
**Energy relative to the elements**: -2.871 eV per formula unit
**SG**: Fm-3m, No. 225
**E above lowest polymorph**: 80 meV per atom

Cell lengths 7.4165, 7.4165, 7.4165 Å; angles 90.00, 90.00, 90.00 degrees
Fractional coordinates of all 16 atoms:
Sr1 0.0000 0.0000 0.0000
Sr2 0.0000 0.5000 0.5000
Sr3 0.5000 0.0000 0.5000
Sr4 0.5000 0.5000 0.0000
Tb1 0.0000 0.0000 0.5000
Tb2 0.0000 0.5000 0.0000
Tb3 0.5000 0.0000 0.0000
Tb4 0.5000 0.5000 0.5000
Au1 0.2500 0.2500 0.2500
Au2 0.2500 0.2500 0.7500
Au3 0.2500 0.7500 0.2500
Au4 0.2500 0.7500 0.7500
Au5 0.7500 0.2500 0.2500
Au6 0.7500 0.2500 0.7500
Au7 0.7500 0.7500 0.2500
Au8 0.7500 0.7500 0.7500